VASP calculation (SCAN) on a PBEsol-optimized structure of NaAsF6.

Cell and atoms, written as POSCAR:
```
NaAsF6
1.0
5.700 0.000 0.000
2.850 4.937 0.000
2.850 1.646 4.654
Na As F
1 1 6
direct
0.500 0.500 0.500 Na
0.000 0.000 0.000 As
0.218 0.782 0.218 F
0.218 0.782 0.782 F
0.782 0.218 0.782 F
0.218 0.218 0.782 F
0.782 0.782 0.218 F
0.782 0.218 0.218 F
```

Results
The total DFT energy (no corrections) comes out at -65.585 eV per formula unit. The value obtained for the density of states at the Fermi level is 0.0000 states/eV per atom.


VASP calculation (SCAN) on a PBEsol-optimized structure of CrFeCo6.

Cell and atoms, written as POSCAR:
```
CrFeCo6
1.0
5.989 -0.003 0.000
-1.991 5.648 0.000
0.000 0.000 9.782
Co Cr Fe
24 4 4
direct
0.249 0.751 0.747 Co
0.877 0.628 0.874 Co
0.123 0.372 0.874 Co
0.751 0.249 0.747 Co
0.372 0.123 0.874 Co
0.628 0.877 0.874 Co
0.500 0.500 0.500 Co
0.123 0.374 0.623 Co
0.374 0.123 0.623 Co
0.249 0.751 0.253 Co
0.877 0.626 0.377 Co
0.123 0.374 0.377 Co
0.751 0.249 0.253 Co
0.374 0.123 0.377 Co
0.626 0.877 0.377 Co
0.500 0.500 0.000 Co
0.123 0.372 0.126 Co
0.372 0.123 0.126 Co
0.000 0.000 0.500 Co
0.626 0.877 0.623 Co
0.877 0.626 0.623 Co
0.000 0.000 0.000 Co
0.628 0.877 0.126 Co
0.877 0.628 0.126 Co
0.249 0.751 0.500 Cr
0.751 0.249 0.500 Cr
0.000 0.000 0.751 Cr
0.000 0.000 0.249 Cr
0.251 0.749 0.000 Fe
0.749 0.251 0.000 Fe
0.500 0.500 0.751 Fe
0.500 0.500 0.249 Fe
```

Results
The value obtained for the density of states at the Fermi level is 0.9019 states/eV per atom. The energy of formation comes out at 83 meV per atom.


VASP calculation (SCAN) on a PBEsol-optimized structure of Na2S.

Cell and atoms, written as POSCAR:
```
Na2S
1.0
4.598 0.000 0.000
2.299 3.982 0.000
2.299 1.327 3.754
Na S
2 1
direct
0.250 0.250 0.250 Na
0.750 0.750 0.750 Na
0.000 0.000 0.000 S
```

Results
The total DFT energy (no corrections) comes out at -21.862 eV per formula unit. The value obtained for the density of states at the Fermi level is 0.0000 states/eV per atom.


VASP calculation (SCAN) on a PBEsol-optimized structure of ScCdTc.

Cell and atoms, written as POSCAR:
```
ScCdTc
1.0
-0.232 3.506 -2.733
-3.954 1.786 -0.999
-1.103 4.004 1.604
Cd Sc Tc
1 1 1
direct
0.750 0.750 0.750 Cd
0.000 0.000 0.000 Sc
0.500 0.500 0.500 Tc
```

Results
The value obtained for the density of states at the Fermi level is 0.8532 states/eV per atom. The energy of formation comes out at 653 meV per atom.